# PrMoP2O8 | the Alexandria database | PBE+U | relaxed
data_PrMoP2O8
_symmetry_space_group_name_H-M 'P -3 m 1'
_symmetry_Int_Tables_number 164
_symmetry_space_group_name_Hall '-P 3 2"'
_cell_length_a 5.1953
_cell_length_b 5.1953
_cell_length_c 7.0719
_cell_angle_alpha 90.00
_cell_angle_beta 90.00
_cell_angle_gamma 120.00
loop_
_atom_site_label
_atom_site_fract_x
_atom_site_fract_y
_atom_site_fract_z
_atom_site_occupancy
Pr1 0.0000 0.0000 0.0000 1
Mo1 0.0000 0.0000 0.5000 1
P1 0.3333 0.6667 0.2206 1
O1 0.1701 0.3403 0.2898 1
O2 0.3333 0.6667 0.0037 1
# **D(E_F)**: 0.000 states/eV/f.u.
# **Density**: 4.287 g cm⁻³
# **E**: -7.66 eV per atom
# **Total moment**: 3.0 μB/cell